(1)
A relaxed structure of AcSiTc2Ge, computed with GGA-PBE.

Calculated values
Spin magnetization in μB/cell: 0.00
Density of states at the Fermi level in states/eV per atom: 1.051
Formation energy (no corrections) in eV per atom: -0.461
SG: Cmcm (63)

abc: 6.1044 6.0974 6.1615
angles: 119.66 90.00 90.00
Sites, in units of the cell vectors:
Ac 0.7500 0.7498 0.4996
Ac 0.2500 0.2502 0.5004
Si 0.2500 0.8940 0.7880
Si 0.7500 0.1060 0.2120
Tc 0.5000 0.2487 0.0000
Tc 0.0000 0.7513 0.0000
Tc 0.5000 0.7513 0.0000
Tc 0.0000 0.2487 0.0000
Ge 0.2500 0.6221 0.2442
Ge 0.7500 0.3779 0.7558

=====

(2)
A relaxed structure of Ac4SiGeTe2, computed with GGA-PBE.

Calculated values
Spin magnetization in μB/cell: 0.00
Density of states at the Fermi level in states/eV per atom: 0.364
Formation energy (no corrections) in eV per atom: -1.150
SG: P2/m (10)

abc: 4.6553 8.0705 8.2415
angles: 109.00 90.00 90.00
Sites, in units of the cell vectors:
Ac 0.5000 0.2421 0.2232
Ac 0.5000 0.7579 0.7768
Ac 0.0000 0.2602 0.7774
Ac 0.0000 0.7398 0.2226
Si 0.5000 0.5000 0.0000
Ge 0.0000 0.0000 0.0000
Te 0.5000 0.0000 0.5000
Te 0.0000 0.5000 0.5000

=====

(3)
A relaxed structure of Ac2Zn4SiGe3, computed with GGA-PBE.

Calculated values
Spin magnetization in μB/cell: 0.00
Density of states at the Fermi level in states/eV per atom: 0.257
Formation energy (no corrections) in eV per atom: -0.417
SG: P-4m2 (115)

abc: 4.5608 4.5608 10.1009
angles: 90.00 90.00 90.00
Sites, in units of the cell vectors:
Ac 0.5000 0.0000 0.2549
Ac 0.0000 0.5000 0.7451
Zn 0.5000 0.5000 0.0000
Zn 0.0000 0.0000 0.0000
Zn 0.5000 0.0000 0.6191
Zn 0.0000 0.5000 0.3809
Si 0.5000 0.5000 0.5000
Ge 0.0000 0.0000 0.5000
Ge 0.5000 0.0000 0.8677
Ge 0.0000 0.5000 0.1323

=====

(4)
A relaxed structure of Ac3Zn2SiGe6, computed with GGA-PBE.

Calculated values
Spin magnetization in μB/cell: 0.00
Density of states at the Fermi level in states/eV per atom: 0.462
Formation energy (no corrections) in eV per atom: -0.265
SG: P-3m1 (164)

abc: 6.2416 6.2416 8.8467
angles: 90.00 90.00 120.00
Sites, in units of the cell vectors:
Ac 0.3333 0.6667 0.6286
Ac 0.6667 0.3333 0.3714
Ac 0.0000 0.0000 0.0000
Zn 0.6667 0.3333 0.9837
Zn 0.3333 0.6667 0.0163
Si 0.0000 0.0000 0.5000
Ge 0.6197 0.8099 0.2873
Ge 0.1901 0.3803 0.2873
Ge 0.1901 0.8099 0.2873
Ge 0.8099 0.6197 0.7127
Ge 0.3803 0.1901 0.7127
Ge 0.8099 0.1901 0.7127

=====

(5)
A relaxed structure of Ac2Zn4Si3Ge, computed with GGA-PBE.

Calculated values
Spin magnetization in μB/cell: 0.00
Density of states at the Fermi level in states/eV per atom: 0.198
Formation energy (no corrections) in eV per atom: -0.385
SG: P-4m2 (115)

abc: 4.5222 4.5222 9.9771
angles: 90.00 90.00 90.00
Sites, in units of the cell vectors:
Ac 0.5000 0.0000 0.2502
Ac 0.0000 0.5000 0.7498
Zn 0.5000 0.5000 0.0000
Zn 0.0000 0.0000 0.0000
Zn 0.5000 0.0000 0.6252
Zn 0.0000 0.5000 0.3748
Si 0.0000 0.0000 0.5000
Si 0.5000 0.0000 0.8717
Si 0.0000 0.5000 0.1283
Ge 0.5000 0.5000 0.5000

=====

(6)
A relaxed structure of Ac2Sm3Ge2, computed with GGA-PBE.

Calculated values
Formation energy in eV/atom: -0.49
Spin magnetization in μB/cell: 0.00
Density of states at the Fermi level in states/eV per atom: 1.220
SG: C2/m (12)

abc: 4.3668 6.6317 8.9573
angles: 112.25 90.00 109.22
Sites, in units of the cell vectors:
Ac 0.8465 0.6931 0.1935
Ac 0.1535 0.3069 0.8065
Sm 0.5000 0.0000 0.0000
Sm 0.6290 0.2580 0.4416
Sm 0.3710 0.7420 0.5584
Ge 0.8444 0.6887 0.7796
Ge 0.1556 0.3113 0.2204

=====

(7)
A relaxed structure of AcSm2Ge6, computed with GGA-PBE.

Calculated values
Formation energy in eV/atom: -0.56
Spin magnetization in μB/cell: 0.00
Density of states at the Fermi level in states/eV per atom: 0.557
SG: P6/mmm (191)

abc: 4.1023 7.7842 7.7842
angles: 120.00 90.00 90.00
Sites, in units of the cell vectors:
Ac 0.0000 0.0000 0.0000
Sm 0.0000 0.3333 0.6667
Sm 0.0000 0.6667 0.3333
Ge 0.5000 0.3400 0.3400
Ge 0.5000 0.6600 0.6600
Ge 0.5000 0.0000 0.6600
Ge 0.5000 0.6600 0.0000
Ge 0.5000 0.3400 0.0000
Ge 0.5000 0.0000 0.3400

=====

(8)
A relaxed structure of Ac4SmGe4, computed with GGA-PBE.

Calculated values
Formation energy in eV/atom: -0.55
Spin magnetization in μB/cell: 0.00
Density of states at the Fermi level in states/eV per atom: 0.998
SG: P4_2/n (86)

abc: 6.5168 9.5009 9.5009
angles: 90.00 90.00 90.00
Sites, in units of the cell vectors:
Ac 0.3645 0.2984 0.9262
Ac 0.8645 0.5738 0.7984
Ac 0.3645 0.7016 0.0738
Ac 0.1355 0.2016 0.5738
Ac 0.6355 0.9262 0.7016
Ac 0.1355 0.7984 0.4262
Ac 0.8645 0.4262 0.2016
Ac 0.6355 0.0738 0.2984
Sm 0.0000 0.0000 0.0000
Sm 0.5000 0.5000 0.5000
Ge 0.6510 0.7523 0.3743
Ge 0.6510 0.2477 0.6257
Ge 0.1510 0.8743 0.7477
Ge 0.8490 0.2523 0.8743
Ge 0.8490 0.7477 0.1257
Ge 0.3490 0.3743 0.2477
Ge 0.3490 0.6257 0.7523
Ge 0.1510 0.1257 0.2523

=====

> spin magnetization of number 5 (Ac2Zn4Si3Ge)?

0.00 μB/cell